Record 1
Entry from Alexandria via LeMat-Bulk: a relaxed Al3ClO crystal (GGA-PBE).

```
Al3ClO
1.0
5.201 0.000 0.000
0.000 5.201 0.000
0.000 0.000 5.201
Al Cl O
3 1 1
direct
0.000 0.000 0.500 Al
0.000 0.500 0.000 Al
0.500 0.000 0.000 Al
0.000 0.000 0.000 Cl
0.500 0.500 0.500 O
```

formation energy without anion corrections	991	meV per atom
density	1.6	g/cm3

Record 2
Entry from Alexandria via LeMat-Bulk: a relaxed K3Sm2TiSe6 crystal (GGA-PBE).

```
K3Sm2TiSe6
1.0
3.605 -6.248 0.000
3.605 6.248 0.000
-2.418 0.000 7.674
K Sm Ti Se
3 2 1 6
direct
0.000 0.000 0.000 K
0.329 0.671 0.000 K
0.671 0.329 0.000 K
0.166 0.834 0.500 Sm
0.834 0.166 0.500 Sm
0.500 0.500 0.500 Ti
0.123 0.433 0.298 Se
0.259 0.259 0.702 Se
0.433 0.123 0.298 Se
0.567 0.877 0.702 Se
0.741 0.741 0.298 Se
0.877 0.567 0.702 Se
```

formation energy without anion corrections	-1527	meV per atom
density	4.5	g/cm3

Record 3
Entry from Alexandria via LeMat-Bulk: a relaxed TbSm3Ge4 crystal (GGA-PBE).

```
TbSm3Ge4
1.0
-2.051 3.223 8.021
2.051 -3.223 8.021
2.051 3.223 -8.021
Tb Sm Ge
1 3 4
direct
0.000 0.000 0.000 Tb
0.196 0.696 0.500 Sm
0.500 0.500 0.000 Sm
0.804 0.304 0.500 Sm
0.177 0.870 0.307 Ge
0.438 0.130 0.307 Ge
0.562 0.870 0.693 Ge
0.823 0.130 0.693 Ge
```

formation enthalpy at 0 K	-0.68	eV per atom
density	7.0	g/cm3

Record 4
Entry from Alexandria via LeMat-Bulk: a relaxed Pm3DyHo2Tm6 crystal (GGA-PBE).

```
Pm3DyHo2Tm6
1.0
3.069 -5.312 0.000
3.069 5.312 0.000
-2.040 0.000 11.488
Pm Dy Ho Tm
3 1 2 6
direct
0.000 0.000 0.000 Pm
0.333 0.667 0.000 Pm
0.667 0.333 0.000 Pm
0.500 0.500 0.500 Dy
0.167 0.833 0.500 Ho
0.833 0.167 0.500 Ho
0.084 0.418 0.253 Tm
0.249 0.249 0.747 Tm
0.418 0.084 0.253 Tm
0.582 0.916 0.747 Tm
0.751 0.751 0.253 Tm
0.916 0.582 0.747 Tm
```

formation enthalpy at 0 K	0.02	eV per atom
density	8.6	g/cm3

Record 5
Entry from Alexandria via LeMat-Bulk: a relaxed CsAc2PbO5 crystal (GGA-PBE).

```
CsAc2PbO5
1.0
-3.684 3.684 6.556
3.684 -3.684 6.556
3.684 3.684 -6.556
Cs Ac Pb O
2 4 2 10
direct
0.250 0.250 0.000 Cs
0.750 0.750 0.000 Cs
0.182 0.682 0.863 Ac
0.318 0.182 0.500 Ac
0.682 0.818 0.500 Ac
0.818 0.318 0.137 Ac
0.250 0.750 0.500 Pb
0.750 0.250 0.500 Pb
0.000 0.000 0.000 O
0.021 0.240 0.500 O
0.240 0.740 0.219 O
0.260 0.479 0.500 O
0.479 0.979 0.219 O
0.500 0.500 0.000 O
0.521 0.021 0.781 O
0.740 0.521 0.500 O
0.760 0.260 0.781 O
0.979 0.760 0.500 O
```

formation energy without anion corrections	-2218	meV per atom
density	8.2	g/cm3

Record 6
Entry from Alexandria via LeMat-Bulk: a relaxed LaAl3Au3 crystal (GGA-PBE).

```
LaAl3Au3
1.0
4.280 2.471 5.015
-4.280 2.471 5.015
0.000 -4.942 5.015
La Al Au
2 6 6
direct
0.184 0.184 0.184 La
0.816 0.816 0.816 La
0.100 0.369 0.659 Al
0.341 0.900 0.631 Al
0.369 0.659 0.100 Al
0.631 0.341 0.900 Al
0.659 0.100 0.369 Al
0.900 0.631 0.341 Al
0.165 0.735 0.438 Au
0.265 0.562 0.835 Au
0.438 0.165 0.735 Au
0.562 0.835 0.265 Au
0.735 0.438 0.165 Au
0.835 0.265 0.562 Au
```

formation enthalpy at 0 K	-0.45	eV per atom
density	8.5	g/cm3